This record from the Alexandria database describes a relaxed structure of LaAsPb2. The functional is PBE.

Output
Excess energy over the best structure of this formula in the dataset, eV/atom: 0.0000
Crystal system: monoclinic

```
data_LaAsPb2
_cell_length_a 4.223
_cell_length_b 4.413
_cell_length_c 6.932
_cell_angle_alpha 90.00
_cell_angle_beta 106.69
_cell_angle_gamma 90.00
_symmetry_space_group_name_H-M 'P 1 m 1'
_symmetry_Int_Tables_number 6
_symmetry_space_group_name_Hall 'P -2y'
loop_
_atom_site_label
_atom_site_type_symbol
_atom_site_fract_x
_atom_site_fract_y
_atom_site_fract_z
La1 La 0.000 0.000 0.000
As1 As 0.474 0.500 0.947
Pb1 Pb 0.259 0.000 0.548
Pb2 Pb 0.677 0.500 0.375
```


This record from the Alexandria database describes a relaxed structure of La2AsPb. The functional is PBE.

Output
Excess energy over the best structure of this formula in the dataset, eV/atom: 0.3022
Crystal system: orthorhombic

```
data_La2AsPb
_cell_length_a 4.511
_cell_length_b 4.613
_cell_length_c 11.386
_cell_angle_alpha 90.00
_cell_angle_beta 90.00
_cell_angle_gamma 90.00
_symmetry_space_group_name_H-M 'I m m 2'
_symmetry_Int_Tables_number 44
_symmetry_space_group_name_Hall 'I 2 -2'
loop_
_atom_site_label
_atom_site_type_symbol
_atom_site_fract_x
_atom_site_fract_y
_atom_site_fract_z
La1 La 0.000 0.000 0.000
La2 La 0.000 0.500 0.246
As1 As 0.000 0.500 0.744
Pb1 Pb 0.000 0.000 0.491
```


This record from the Alexandria database describes a relaxed structure of La5As2Pb2. The functional is PBE.

Output
Crystal system: orthorhombic

```
data_La5As2Pb2
_cell_length_a 16.107
_cell_length_b 8.405
_cell_length_c 8.473
_cell_angle_alpha 90.00
_cell_angle_beta 90.00
_cell_angle_gamma 90.00
_symmetry_space_group_name_H-M 'C m c e'
_symmetry_Int_Tables_number 64
_symmetry_space_group_name_Hall '-C 2ac 2'
loop_
_atom_site_label
_atom_site_type_symbol
_atom_site_fract_x
_atom_site_fract_y
_atom_site_fract_z
La1 La 0.000 0.000 0.000
La2 La 0.128 0.164 0.338
As1 As 0.000 0.145 0.646
Pb1 Pb 0.206 0.000 0.000
```


This record from the Alexandria database describes a relaxed structure of LaAsPb2. The functional is PBE.

Output
Excess energy over the best structure of this formula in the dataset, eV/atom: 0.4415
Crystal system: cubic

```
data_LaAsPb2
_cell_length_a 7.746
_cell_length_b 7.746
_cell_length_c 7.746
_cell_angle_alpha 90.00
_cell_angle_beta 90.00
_cell_angle_gamma 90.00
_symmetry_space_group_name_H-M 'F m -3 m'
_symmetry_Int_Tables_number 225
_symmetry_space_group_name_Hall '-F 4 2 3'
loop_
_atom_site_label
_atom_site_type_symbol
_atom_site_fract_x
_atom_site_fract_y
_atom_site_fract_z
La1 La 0.000 0.000 0.000
As1 As 0.000 0.000 0.500
Pb1 Pb 0.250 0.250 0.250
```


This record from the Alexandria database describes a relaxed structure of La2AsPb. The functional is PBE.

Output
Excess energy over the best structure of this formula in the dataset, eV/atom: 0.1841
Crystal system: monoclinic

```
data_La2AsPb
_cell_length_a 11.949
_cell_length_b 4.433
_cell_length_c 4.662
_cell_angle_alpha 90.00
_cell_angle_beta 95.03
_cell_angle_gamma 90.00
_symmetry_space_group_name_H-M 'C 1 m 1'
_symmetry_Int_Tables_number 8
_symmetry_space_group_name_Hall 'C -2y'
loop_
_atom_site_label
_atom_site_type_symbol
_atom_site_fract_x
_atom_site_fract_y
_atom_site_fract_z
La1 La 0.000 0.000 0.000
La2 La 0.239 0.500 0.518
As1 As 0.479 0.000 0.486
Pb1 Pb 0.274 0.000 0.027
```


This record from the Alexandria database describes a relaxed structure of La2AsPb. The functional is PBE.

Output
Excess energy over the best structure of this formula in the dataset, eV/atom: 0.8085
Crystal system: cubic

```
data_La2AsPb
_cell_length_a 7.681
_cell_length_b 7.681
_cell_length_c 7.681
_cell_angle_alpha 90.00
_cell_angle_beta 90.00
_cell_angle_gamma 90.00
_symmetry_space_group_name_H-M 'F -4 3 m'
_symmetry_Int_Tables_number 216
_symmetry_space_group_name_Hall 'F -4 2 3'
loop_
_atom_site_label
_atom_site_type_symbol
_atom_site_fract_x
_atom_site_fract_y
_atom_site_fract_z
La1 La 0.000 0.000 0.000
La2 La 0.250 0.250 0.250
As1 As 0.000 0.000 0.500
Pb1 Pb 0.250 0.250 0.750
```


This record from the Alexandria database describes a relaxed structure of LaAsPb2. The functional is PBE.

Output
Excess energy over the best structure of this formula in the dataset, eV/atom: 0.5885
Crystal system: orthorhombic

```
data_LaAsPb2
_cell_length_a 4.120
_cell_length_b 5.829
_cell_length_c 9.765
_cell_angle_alpha 90.00
_cell_angle_beta 90.00
_cell_angle_gamma 90.00
_symmetry_space_group_name_H-M 'C m m m'
_symmetry_Int_Tables_number 65
_symmetry_space_group_name_Hall '-C 2 2'
loop_
_atom_site_label
_atom_site_type_symbol
_atom_site_fract_x
_atom_site_fract_y
_atom_site_fract_z
La1 La 0.000 0.000 0.000
As1 As 0.000 0.000 0.500
Pb1 Pb 0.000 0.500 0.280
```


This record from the Alexandria database describes a relaxed structure of LaAsPb2. The functional is PBE.

Output
Excess energy over the best structure of this formula in the dataset, eV/atom: 0.0715
Crystal system: orthorhombic

```
data_LaAsPb2
_cell_length_a 6.324
_cell_length_b 6.433
_cell_length_c 11.880
_cell_angle_alpha 90.00
_cell_angle_beta 90.00
_cell_angle_gamma 90.00
_symmetry_space_group_name_H-M 'F m m m'
_symmetry_Int_Tables_number 69
_symmetry_space_group_name_Hall '-F 2 2'
loop_
_atom_site_label
_atom_site_type_symbol
_atom_site_fract_x
_atom_site_fract_y
_atom_site_fract_z
La1 La 0.000 0.000 0.000
As1 As 0.000 0.000 0.500
Pb1 Pb 0.000 0.250 0.250
```


This record from the Alexandria database describes a relaxed structure of La2AsPb. The functional is PBE.

Output
Excess energy over the best structure of this formula in the dataset, eV/atom: 0.8386
Crystal system: trigonal

```
data_La2AsPb
_cell_length_a 4.0317
_cell_length_b 4.0317
_cell_length_c 28.0136
_cell_angle_alpha 90.00
_cell_angle_beta 90.00
_cell_angle_gamma 120.00
_symmetry_space_group_name_H-M 'R 3 m'
_symmetry_Int_Tables_number 160
_symmetry_space_group_name_Hall 'R 3 -2"'
loop_
_atom_site_label
_atom_site_type_symbol
_atom_site_fract_x
_atom_site_fract_y
_atom_site_fract_z
La1 La 0.0000 0.0000 0.0000
La2 La 0.0000 0.0000 0.2317
As1 As 0.0000 0.0000 0.7364
Pb1 Pb 0.0000 0.0000 0.4646
```


This record from the Alexandria database describes a relaxed structure of LaAsPb2. The functional is PBE.

Output
Excess energy over the best structure of this formula in the dataset, eV/atom: 0.1135
Crystal system: monoclinic

```
data_LaAsPb2
_cell_length_a 10.728
_cell_length_b 4.195
_cell_length_c 6.225
_cell_angle_alpha 90.00
_cell_angle_beta 120.23
_cell_angle_gamma 90.00
_symmetry_space_group_name_H-M 'C 1 m 1'
_symmetry_Int_Tables_number 8
_symmetry_space_group_name_Hall 'C -2y'
loop_
_atom_site_label
_atom_site_type_symbol
_atom_site_fract_x
_atom_site_fract_y
_atom_site_fract_z
La1 La 0.000 0.000 0.000
As1 As 0.214 0.500 0.010
Pb1 Pb 0.206 0.000 0.649
Pb2 Pb 0.422 0.000 0.395
```


This record from the Alexandria database describes a relaxed structure of LaAsPb3. The functional is PBE.

Output
Excess energy over the best structure of this formula in the dataset, eV/atom: 0.0000
Crystal system: cubic

```
data_LaAsPb3
_cell_length_a 5.570
_cell_length_b 5.570
_cell_length_c 5.570
_cell_angle_alpha 90.00
_cell_angle_beta 90.00
_cell_angle_gamma 90.00
_symmetry_space_group_name_H-M 'P m -3 m'
_symmetry_Int_Tables_number 221
_symmetry_space_group_name_Hall '-P 4 2 3'
loop_
_atom_site_label
_atom_site_type_symbol
_atom_site_fract_x
_atom_site_fract_y
_atom_site_fract_z
La1 La 0.000 0.000 0.000
As1 As 0.500 0.500 0.500
Pb1 Pb 0.000 0.500 0.500
```


This record from the Alexandria database describes a relaxed structure of La6As4Pb. The functional is PBE.

Output
Crystal system: orthorhombic

```
data_La6As4Pb
_cell_length_a 4.386
_cell_length_b 14.378
_cell_length_c 22.330
_cell_angle_alpha 90.00
_cell_angle_beta 90.00
_cell_angle_gamma 90.00
_symmetry_space_group_name_H-M 'C m c m'
_symmetry_Int_Tables_number 63
_symmetry_space_group_name_Hall '-C 2c 2'
loop_
_atom_site_label
_atom_site_type_symbol
_atom_site_fract_x
_atom_site_fract_y
_atom_site_fract_z
La1 La 0.000 0.000 0.000
La2 La 0.000 0.166 0.250
La3 La 0.000 0.273 0.582
La4 La 0.000 0.457 0.160
As1 As 0.000 0.091 0.125
As2 As 0.000 0.362 0.041
Pb1 Pb 0.000 0.163 0.750
```


This record from the Alexandria database describes a relaxed structure of LaAsPb. The functional is PBE.

Output
Excess energy over the best structure of this formula in the dataset, eV/atom: 0.2306
Crystal system: tetragonal

```
data_LaAsPb
_cell_length_a 3.847
_cell_length_b 3.847
_cell_length_c 11.650
_cell_angle_alpha 90.00
_cell_angle_beta 90.00
_cell_angle_gamma 90.00
_symmetry_space_group_name_H-M 'I 4 m m'
_symmetry_Int_Tables_number 107
_symmetry_space_group_name_Hall 'I 4 -2'
loop_
_atom_site_label
_atom_site_type_symbol
_atom_site_fract_x
_atom_site_fract_y
_atom_site_fract_z
La1 La 0.000 0.000 0.000
As1 As 0.000 0.000 0.623
Pb1 Pb 0.000 0.000 0.276
```


This record from the Alexandria database describes a relaxed structure of LaAs3Pb. The functional is PBE.

Output
Excess energy over the best structure of this formula in the dataset, eV/atom: 0.0000
Crystal system: cubic

```
data_LaAs3Pb
_cell_length_a 5.321
_cell_length_b 5.321
_cell_length_c 5.321
_cell_angle_alpha 90.00
_cell_angle_beta 90.00
_cell_angle_gamma 90.00
_symmetry_space_group_name_H-M 'P m -3 m'
_symmetry_Int_Tables_number 221
_symmetry_space_group_name_Hall '-P 4 2 3'
loop_
_atom_site_label
_atom_site_type_symbol
_atom_site_fract_x
_atom_site_fract_y
_atom_site_fract_z
La1 La 0.000 0.000 0.000
As1 As 0.000 0.500 0.500
Pb1 Pb 0.500 0.500 0.500
```


This record from the Alexandria database describes a relaxed structure of La2AsPb2. The functional is PBE.

Output
Excess energy over the best structure of this formula in the dataset, eV/atom: 0.0000
Crystal system: tetragonal

```
data_La2AsPb2
_cell_length_a 8.057
_cell_length_b 8.057
_cell_length_c 5.086
_cell_angle_alpha 90.00
_cell_angle_beta 90.00
_cell_angle_gamma 90.00
_symmetry_space_group_name_H-M 'P 4/m b m'
_symmetry_Int_Tables_number 127
_symmetry_space_group_name_Hall '-P 4 2ab'
loop_
_atom_site_label
_atom_site_type_symbol
_atom_site_fract_x
_atom_site_fract_y
_atom_site_fract_z
La1 La 0.172 0.328 0.000
As1 As 0.000 0.000 0.000
Pb1 Pb 0.137 0.637 0.500
```


This record from the Alexandria database describes a relaxed structure of La2AsPb. The functional is PBE.

Output
Excess energy over the best structure of this formula in the dataset, eV/atom: 0.3525
Crystal system: cubic

```
data_La2AsPb
_cell_length_a 7.792
_cell_length_b 7.792
_cell_length_c 7.792
_cell_angle_alpha 90.00
_cell_angle_beta 90.00
_cell_angle_gamma 90.00
_symmetry_space_group_name_H-M 'F m -3 m'
_symmetry_Int_Tables_number 225
_symmetry_space_group_name_Hall '-F 4 2 3'
loop_
_atom_site_label
_atom_site_type_symbol
_atom_site_fract_x
_atom_site_fract_y
_atom_site_fract_z
La1 La 0.250 0.250 0.250
As1 As 0.000 0.000 0.000
Pb1 Pb 0.000 0.000 0.500
```


This record from the Alexandria database describes a relaxed structure of La2As3Pd4Pb. The functional is PBE.

Output
Crystal system: tetragonal

```
data_La2As3Pd4Pb
_cell_length_a 4.367
_cell_length_b 4.367
_cell_length_c 11.066
_cell_angle_alpha 90.00
_cell_angle_beta 90.00
_cell_angle_gamma 90.00
_symmetry_space_group_name_H-M 'P -4 m 2'
_symmetry_Int_Tables_number 115
_symmetry_space_group_name_Hall 'P -4 -2'
loop_
_atom_site_label
_atom_site_type_symbol
_atom_site_fract_x
_atom_site_fract_y
_atom_site_fract_z
La1 La 0.000 0.500 0.228
As1 As 0.000 0.500 0.873
As2 As 0.500 0.500 0.500
Pd1 Pd 0.000 0.000 0.000
Pd2 Pd 0.000 0.500 0.652
Pd3 Pd 0.500 0.500 0.000
Pb1 Pb 0.000 0.000 0.500
```


This record from the Alexandria database describes a relaxed structure of LaAs2Pd7Pb2. The functional is PBE.

Output
Crystal system: monoclinic

```
data_LaAs2Pd7Pb2
_cell_length_a 5.848
_cell_length_b 5.841
_cell_length_c 14.565
_cell_angle_alpha 90.00
_cell_angle_beta 96.85
_cell_angle_gamma 90.00
_symmetry_space_group_name_H-M 'C 1 2/m 1'
_symmetry_Int_Tables_number 12
_symmetry_space_group_name_Hall '-C 2y'
loop_
_atom_site_label
_atom_site_type_symbol
_atom_site_fract_x
_atom_site_fract_y
_atom_site_fract_z
La1 La 0.000 0.000 0.000
As1 As 0.077 0.500 0.251
Pd1 Pd 0.000 0.500 0.000
Pd2 Pd 0.110 0.500 0.421
Pd3 Pd 0.202 0.250 0.846
Pb1 Pb 0.114 0.000 0.394
```


This record from the Alexandria database describes a relaxed structure of LaAs2Pd5Pb. The functional is PBE.

Output
Crystal system: tetragonal

```
data_LaAs2Pd5Pb
_cell_length_a 4.407
_cell_length_b 4.407
_cell_length_c 8.778
_cell_angle_alpha 90.00
_cell_angle_beta 90.00
_cell_angle_gamma 90.00
_symmetry_space_group_name_H-M 'P 4/m m m'
_symmetry_Int_Tables_number 123
_symmetry_space_group_name_Hall '-P 4 2'
loop_
_atom_site_label
_atom_site_type_symbol
_atom_site_fract_x
_atom_site_fract_y
_atom_site_fract_z
La1 La 0.000 0.000 0.000
As1 As 0.500 0.500 0.149
Pd1 Pd 0.000 0.500 0.283
Pd2 Pd 0.500 0.500 0.500
Pb1 Pb 0.000 0.000 0.500
```


This record from the Alexandria database describes a relaxed structure of LaReAs2Pb. The functional is PBE.

Output
Crystal system: tetragonal

```
data_LaReAs2Pb
_cell_length_a 4.882
_cell_length_b 4.882
_cell_length_c 5.519
_cell_angle_alpha 90.00
_cell_angle_beta 90.00
_cell_angle_gamma 90.00
_symmetry_space_group_name_H-M 'P 4/m m m'
_symmetry_Int_Tables_number 123
_symmetry_space_group_name_Hall '-P 4 2'
loop_
_atom_site_label
_atom_site_type_symbol
_atom_site_fract_x
_atom_site_fract_y
_atom_site_fract_z
La1 La 0.000 0.000 0.000
Re1 Re 0.000 0.000 0.500
As1 As 0.000 0.500 0.500
Pb1 Pb 0.500 0.500 0.000
```


Number 1: DFT formation energy -219 kJ/mol of formula units, E -4.815 eV/atom. Number 2: DFT formation energy -297 kJ/mol of formula units, E -5.323 eV/atom. Number 3: DFT formation energy -821 kJ/mol of formula units, E -5.540 eV/atom. Number 4: DFT formation energy -48 kJ/mol of formula units, E -4.374 eV/atom. Number 5: DFT formation energy -343 kJ/mol of formula units, E -5.441 eV/atom. Number 6: DFT formation energy -102 kJ/mol of formula units, E -4.817 eV/atom. Number 7: DFT formation energy 8 kJ/mol of formula units, E -4.227 eV/atom. Number 8: DFT formation energy -191 kJ/mol of formula units, E -4.744 eV/atom. Number 9: DFT formation energy -90 kJ/mol of formula units, E -4.787 eV/atom. Number 10: DFT formation energy -175 kJ/mol of formula units, E -4.702 eV/atom. Number 11: DFT formation energy 79 kJ/mol of formula units, E -3.977 eV/atom. Number 12: DFT formation energy -1366 kJ/mol of formula units, E -6.003 eV/atom. Number 13: DFT formation energy -161 kJ/mol of formula units, E -4.983 eV/atom. Number 14: DFT formation energy 117 kJ/mol of formula units, E -4.275 eV/atom. Number 15: DFT formation energy -309 kJ/mol of formula units, E -5.025 eV/atom. Number 16: DFT formation energy -278 kJ/mol of formula units, E -5.273 eV/atom. Number 17: DFT formation energy -808 kJ/mol of formula units, E -5.666 eV/atom. Number 18: DFT formation energy -480 kJ/mol of formula units, E -5.247 eV/atom. Number 19: DFT formation energy -551 kJ/mol of formula units, E -5.513 eV/atom. Number 20: DFT formation energy 28 kJ/mol of formula units, E -6.019 eV/atom.